# Cs2Mo4O13 GGA+U relaxed
# E_tot = -6.685 eV/atom
# magnetic moment = 0.3 μB per cell
data_Cs2Mo4O13
_chemical_formula_sum 'Cs4 Mo8 O26'
_cell_length_a 8.704
_cell_length_b 8.852
_cell_length_c 10.812
_cell_angle_alpha 107.53
_cell_angle_beta 104.26
_cell_angle_gamma 108.75
_space_group_name_H-M_alt 'P -1'
_space_group_IT_number 2
loop_
_space_group_symop_operation_xyz
'x,y,z'
'-x,-y,-z'
loop_
_atom_site_label
_atom_site_fract_x
_atom_site_fract_y
_atom_site_fract_z
Cs1 0.073 0.121 0.293
Cs2 0.349 0.803 0.573
Mo1 0.126 0.445 0.739
Mo2 0.151 0.711 0.058
Mo3 0.467 0.285 0.958
Mo4 0.499 0.572 0.283
O1 0.002 0.222 0.631
O2 0.013 0.545 0.663
O3 0.021 0.435 0.888
O4 0.025 0.788 0.968
O5 0.279 0.893 0.218
O6 0.299 0.704 0.941
O7 0.310 0.502 0.670
O8 0.350 0.067 0.840
O9 0.352 0.401 0.871
O10 0.354 0.470 0.349
O11 0.361 0.615 0.140
O12 0.387 0.212 0.588
O13 0.393 0.300 0.099